1.
This record from Alexandria via LeMat-Bulk describes crystalline TaCrNi3 at its relaxed geometry. The functional is GGA-PBEsol.

The structure in POSCAR format:
```
TaCrNi3
1.0
4.121 0.000 0.000
0.000 4.121 0.000
0.000 0.000 4.121
Ni Cr Ta
3 1 1
Direct
0.000 0.500 0.000 Ni
0.000 0.000 0.500 Ni
0.500 0.000 0.000 Ni
0.000 0.000 0.000 Cr
0.500 0.500 0.500 Ta
```

- VASP energy: -36.0 eV per cell
- D(E_F): 5.9 states/eV per cell
- Energy relative to the elements: 1.060 eV per atom
- SG: Pm-3m

=====

2.
This record from Alexandria via LeMat-Bulk describes crystalline LaYZr2 at its relaxed geometry. The functional is GGA-PBEsol.

The structure in POSCAR format:
```
LaYZr2
1.0
3.292 0.000 0.000
0.000 4.841 0.000
0.000 0.000 6.549
La Y Zr
1 1 2
Direct
0.500 0.500 0.500 La
0.500 0.500 0.000 Y
0.000 0.000 0.754 Zr
0.000 0.000 0.246 Zr
```

- VASP energy: -29.7 eV per cell
- D(E_F): 5.0 states/eV per cell
- Energy relative to the elements: 0.173 eV per atom
- SG: Pmmm

=====

3.
This record from Alexandria via LeMat-Bulk describes crystalline YScAs2 at its relaxed geometry. The functional is GGA-PBEsol.

The structure in POSCAR format:
```
YScAs2
1.0
-2.973 -1.667 -0.631
1.551 -3.139 0.980
-0.487 1.804 6.544
As Sc Y
2 1 1
Direct
0.743 0.000 0.763 As
0.257 0.000 0.237 As
0.500 0.500 0.000 Sc
0.000 0.500 0.500 Y
```

- VASP energy: -28.1 eV per cell
- D(E_F): 1.3 states/eV per cell
- Energy relative to the elements: -1.115 eV per atom
- Energy above the most stable polymorph in this dataset: 0.372 eV/atom
- SG: P2/m

=====

The highest energy relative to the elements belongs to which entry? TaCrNi3